No. 1
A plane-wave DFT calculation with PBE was carried out for a geometry-optimized Ce5Dy3Te8 structure.

Summary:
Final energy in eV per atom: -5.63
Spin magnetization in μB per formula unit: 5.931
Space-group type: No. 166
E_form (uncorrected) in eV/atom: -1.3420

Cell lengths 8.9139, 8.9139, 8.9139 Å; angles 59.44, 59.44, 59.44 degrees
Last column: nearest neighbours and their distance in Å.
Fractional positions:
1 Ce 0.0000 0.0000 0.0000  6 Te 3.14
2 Ce 0.0000 0.5000 0.5000  6 Te 3.19
3 Ce 0.5000 0.0000 0.5000  6 Te 3.19
4 Ce 0.5000 0.5000 0.0000  6 Te 3.19
5 Ce 0.5000 0.5000 0.5000  6 Te 3.14
6 Dy 0.0000 0.0000 0.5000  6 Te 3.09
7 Dy 0.0000 0.5000 0.0000  6 Te 3.09
8 Dy 0.5000 0.0000 0.0000  6 Te 3.09
9 Te 0.2423 0.7500 0.7500  2 Dy 3.09, 4 Ce 3.14-3.19
10 Te 0.2462 0.2462 0.2462  3 Dy 3.09, 3 Ce 3.19
11 Te 0.2500 0.2500 0.7577  2 Dy 3.09, 4 Ce 3.14-3.19
12 Te 0.2500 0.7577 0.2500  2 Dy 3.09, 4 Ce 3.14-3.19
13 Te 0.7500 0.2423 0.7500  2 Dy 3.09, 4 Ce 3.14-3.19
14 Te 0.7500 0.7500 0.2423  2 Dy 3.09, 4 Ce 3.14-3.19
15 Te 0.7538 0.7538 0.7538  3 Dy 3.09, 3 Ce 3.19
16 Te 0.7577 0.2500 0.2500  2 Dy 3.09, 4 Ce 3.14-3.19


No. 2
A plane-wave DFT calculation with PBE was carried out for a geometry-optimized Ce2Dy3Te8 structure.

Summary:
Final energy in eV per atom: -5.19
Spin magnetization in μB per formula unit: 1.005
Space-group type: No. 12
E_form (uncorrected) in eV/atom: -1.2811

Cell lengths 9.0222, 9.0222, 7.4782 Å; angles 105.93, 105.93, 57.55 degrees
Last column: nearest neighbours and their distance in Å.
Fractional positions:
1 Ce 0.2474 0.2474 0.1737  6 Te 3.06-3.21
2 Ce 0.7526 0.7526 0.8263  6 Te 3.06-3.21
3 Dy 0.2429 0.7571 0.5000  6 Te 3.03-3.11
4 Dy 0.5000 0.5000 0.0000  6 Te 3.06-3.07
5 Dy 0.7571 0.2429 0.5000  6 Te 3.03-3.11
6 Te 0.1118 0.1118 0.3900  2 Dy 3.03, 1 Ce 3.06
7 Te 0.1346 0.6236 0.0878  2 Dy 3.06-3.08, 2 Ce 3.18-3.21
8 Te 0.3764 0.8654 0.9122  2 Dy 3.06-3.08, 2 Ce 3.18-3.21
9 Te 0.3817 0.3817 0.5862  3 Dy 3.07-3.11, 1 Ce 3.15
10 Te 0.6183 0.6183 0.4138  3 Dy 3.07-3.11, 1 Ce 3.15
11 Te 0.6236 0.1346 0.0878  2 Dy 3.06-3.08, 2 Ce 3.18-3.21
12 Te 0.8654 0.3764 0.9122  2 Dy 3.06-3.08, 2 Ce 3.18-3.21
13 Te 0.8882 0.8882 0.6100  2 Dy 3.03, 1 Ce 3.06